VASP calculation (GGA-PBE) on a relaxed Ba8Ni2Br crystal.

The calculation puts the total energy at -29.6 eV/f.u. The uncorrected formation energy is -0.088 eV/atom.

The space group is P-1 (No. 2) and the conventional cell measures 6.6776, 10.1165 and 10.1184 Å, with angles of 60.08, 89.99 and 89.99 degrees. The inequivalent atoms are Ba at (0.2454, 0.3326, 0.3301), Ba at (0.2456, 0.3303, 0.8372), Ba at (0.2456, 0.8372, 0.3330), Ba at (0.2526, 0.8334, 0.8335), Ni at (0.2520, 0.1666, 0.1664) and Br at (0.5000, 0.5000, 0.5000).